Density functional theory data (GGA+U) for crystalline Sr3NiAs2O8 at its relaxed geometry.

The space group is P-3m1 (No. 164) and the conventional cell measures 5.6860, 5.6860 and 7.2760 Å, with angles of 90.00, 90.00 and 120.00 degrees. The inequivalent atoms are Sr at (0.0000, 0.0000, 0.0000), Sr at (0.3333, 0.6667, 0.6366), Ni at (0.0000, 0.0000, 0.5000), As at (0.3333, 0.6667, 0.2042), O at (0.1662, 0.3324, 0.3180) and O at (0.3333, 0.6667, 0.9575).

The crystal system is trigonal. The raw total energy is -5.8717 eV per atom. The calculation puts the theoretical density at 4.89 g cm⁻³. For the magnetization, the calculation gives 0.0408 μB per atom.